# 1
# Y3Sc2Rh3 | the Alexandria database | GGA-PBE | relaxed
# - uncorrected energy (eV for the cell shown) = -120.31
# - mass density (kg/m3) = 6185
# - symmetry = No. 63
# - formation energy from the elements (meV/atom) = -755
data_Y3Sc2Rh3
_cell_length_a 4.060
_cell_length_b 6.425
_cell_length_c 14.434
_cell_angle_alpha 90.00
_cell_angle_beta 90.00
_cell_angle_gamma 108.42
_space_group_name_H-M_alt 'P 1'
_space_group_IT_number 1
loop_
_space_group_symop_operation_xyz
'x,y,z'
loop_
_atom_site_label
_atom_site_fract_x
_atom_site_fract_y
_atom_site_fract_z
Y1 0.948 0.897 0.379
Y2 0.052 0.103 0.879
Y3 0.948 0.897 0.121
Y4 0.052 0.103 0.621
Y5 0.665 0.330 0.250
Y6 0.335 0.670 0.750
Sc1 0.768 0.536 0.920
Sc2 0.232 0.464 0.420
Sc3 0.768 0.536 0.580
Sc4 0.232 0.464 0.080
Rh1 0.602 0.205 0.455
Rh2 0.398 0.795 0.955
Rh3 0.602 0.205 0.045
Rh4 0.398 0.795 0.545
Rh5 0.340 0.681 0.250
Rh6 0.660 0.319 0.750


# 2
# ScRu2 | the Alexandria database | GGA-PBE | relaxed
# - uncorrected energy (eV for the cell shown) = -49.93
# - mass density (kg/m3) = 8711
# - symmetry = No. 194
# - formation energy from the elements (meV/atom) = -27
data_ScRu2
_cell_length_a 4.478
_cell_length_b 4.478
_cell_length_c 5.425
_cell_angle_alpha 90.00
_cell_angle_beta 90.00
_cell_angle_gamma 120.00
_space_group_name_H-M_alt 'P 1'
_space_group_IT_number 1
loop_
_space_group_symop_operation_xyz
'x,y,z'
loop_
_atom_site_label
_atom_site_fract_x
_atom_site_fract_y
_atom_site_fract_z
Sc1 0.333 0.667 0.750
Sc2 0.667 0.333 0.250
Ru1 0.000 0.000 0.000
Ru2 0.000 0.000 0.500
Ru3 0.333 0.667 0.250
Ru4 0.667 0.333 0.750


# 3
# Ho3ErPt2 | the Alexandria database | GGA-PBE | relaxed
# - uncorrected energy (eV for the cell shown) = -72.43
# - mass density (kg/m3) = 11806
# - symmetry = No. 26
# - formation energy from the elements (meV/atom) = -973
data_Ho3ErPt2
_cell_length_a 4.749
_cell_length_b 7.117
_cell_length_c 8.758
_cell_angle_alpha 90.00
_cell_angle_beta 90.00
_cell_angle_gamma 90.00
_space_group_name_H-M_alt 'P 1'
_space_group_IT_number 1
loop_
_space_group_symop_operation_xyz
'x,y,z'
loop_
_atom_site_label
_atom_site_fract_x
_atom_site_fract_y
_atom_site_fract_z
Ho1 0.000 0.491 0.917
Ho2 0.000 0.991 0.083
Ho3 0.500 0.644 0.170
Ho4 0.500 0.144 0.830
Ho5 0.000 0.356 0.331
Ho6 0.000 0.856 0.669
Er1 0.500 0.509 0.583
Er2 0.500 0.009 0.417
Pt1 0.500 0.741 0.843
Pt2 0.500 0.241 0.157
Pt3 0.000 0.259 0.656
Pt4 0.000 0.759 0.344


# 4
# Sr3Ni | the Alexandria database | GGA-PBE | relaxed
# - uncorrected energy (eV for the cell shown) = -8.80
# - mass density (kg/m3) = 3517
# - symmetry = No. 166
# - formation energy from the elements (meV/atom) = 506
data_Sr3Ni
_cell_length_a 6.803
_cell_length_b 6.803
_cell_length_c 6.803
_cell_angle_alpha 116.37
_cell_angle_beta 116.37
_cell_angle_gamma 116.37
_space_group_name_H-M_alt 'P 1'
_space_group_IT_number 1
loop_
_space_group_symop_operation_xyz
'x,y,z'
loop_
_atom_site_label
_atom_site_fract_x
_atom_site_fract_y
_atom_site_fract_z
Ni1 0.000 0.000 0.000
Sr1 0.000 0.500 0.500
Sr2 0.500 0.000 0.500
Sr3 0.500 0.500 0.000


# 5
# LaCeSm2 | the Alexandria database | GGA-PBE | relaxed
# - uncorrected energy (eV for the cell shown) = -19.50
# - mass density (kg/m3) = 6993
# - symmetry = No. 225
# - formation energy from the elements (meV/atom) = 199
data_LaCeSm2
_cell_length_a 5.796
_cell_length_b 5.796
_cell_length_c 5.796
_cell_angle_alpha 60.00
_cell_angle_beta 60.00
_cell_angle_gamma 60.00
_space_group_name_H-M_alt 'P 1'
_space_group_IT_number 1
loop_
_space_group_symop_operation_xyz
'x,y,z'
loop_
_atom_site_label
_atom_site_fract_x
_atom_site_fract_y
_atom_site_fract_z
Ce1 0.000 0.000 0.000
Sm1 0.250 0.250 0.250
Sm2 0.750 0.750 0.750
La1 0.500 0.500 0.500


# 6
# LiSm4Zn2 | the Alexandria database | GGA-PBE | relaxed
# - uncorrected energy (eV for the cell shown) = -46.51
# - mass density (kg/m3) = 6440
# - symmetry = No. 122
# - formation energy from the elements (meV/atom) = 12
data_LiSm4Zn2
_cell_length_a 7.913
_cell_length_b 7.913
_cell_length_c 7.913
_cell_angle_alpha 110.27
_cell_angle_beta 107.89
_cell_angle_gamma 110.27
_space_group_name_H-M_alt 'P 1'
_space_group_IT_number 1
loop_
_space_group_symop_operation_xyz
'x,y,z'
loop_
_atom_site_label
_atom_site_fract_x
_atom_site_fract_y
_atom_site_fract_z
Li1 0.000 0.000 0.000
Li2 0.750 0.500 0.250
Sm1 0.139 0.904 0.390
Sm2 0.610 0.749 0.514
Sm3 0.985 0.596 0.736
Sm4 0.264 0.249 0.860
Sm5 0.611 0.751 0.015
Sm6 0.765 0.251 0.861
Sm7 0.486 0.096 0.235
Sm8 0.140 0.404 0.389
Zn1 0.875 0.114 0.489
Zn2 0.511 0.386 0.625
Zn3 0.375 0.886 0.761
Zn4 0.239 0.614 0.125


# 7
# Ta2CoIr | the Alexandria database | GGA-PBE | relaxed
# - uncorrected energy (eV for the cell shown) = -76.03
# - mass density (kg/m3) = 14669
# - symmetry = No. 122
# - formation energy from the elements (meV/atom) = 415
data_Ta2CoIr
_cell_length_a 4.058
_cell_length_b 4.058
_cell_length_c 8.905
_cell_angle_alpha 76.83
_cell_angle_beta 76.83
_cell_angle_gamma 90.00
_space_group_name_H-M_alt 'P 1'
_space_group_IT_number 1
loop_
_space_group_symop_operation_xyz
'x,y,z'
loop_
_atom_site_label
_atom_site_fract_x
_atom_site_fract_y
_atom_site_fract_z
Ir1 0.000 0.000 0.000
Ir2 0.750 0.250 0.500
Co1 0.500 0.500 0.000
Co2 0.250 0.750 0.500
Ta1 0.615 0.125 0.250
Ta2 0.135 0.625 0.250
Ta3 0.375 0.385 0.750
Ta4 0.875 0.865 0.750


# 8
# DyHfIn | the Alexandria database | GGA-PBE | relaxed
# - uncorrected energy (eV for the cell shown) = -16.88
# - mass density (kg/m3) = 10405
# - symmetry = No. 187
# - formation energy from the elements (meV/atom) = 138
data_DyHfIn
_cell_length_a 3.099
_cell_length_b 5.207
_cell_length_c 5.207
_cell_angle_alpha 120.00
_cell_angle_beta 90.00
_cell_angle_gamma 90.00
_space_group_name_H-M_alt 'P 1'
_space_group_IT_number 1
loop_
_space_group_symop_operation_xyz
'x,y,z'
loop_
_atom_site_label
_atom_site_fract_x
_atom_site_fract_y
_atom_site_fract_z
In1 0.667 0.667 0.333
Hf1 0.167 0.000 0.000
Dy1 0.166 0.333 0.667


# 9
# LaMo2Br | the Alexandria database | GGA-PBE | relaxed
# - uncorrected energy (eV for the cell shown) = -26.35
# - mass density (kg/m3) = 7925
# - raw formation energy (eV/atom) = 0.479
# - symmetry = No. 123
data_LaMo2Br
_cell_length_a 5.542
_cell_length_b 3.940
_cell_length_c 3.940
_cell_angle_alpha 90.00
_cell_angle_beta 90.00
_cell_angle_gamma 90.00
_space_group_name_H-M_alt 'P 1'
_space_group_IT_number 1
loop_
_space_group_symop_operation_xyz
'x,y,z'
loop_
_atom_site_label
_atom_site_fract_x
_atom_site_fract_y
_atom_site_fract_z
Mo1 0.000 0.000 0.000
Mo2 0.000 0.500 0.500
Br1 0.500 0.500 0.000
La1 0.500 0.000 0.500


# 10
# LaNb2SnTe | the Alexandria database | GGA-PBE | relaxed
# - uncorrected energy (eV for the cell shown) = -27.36
# - mass density (kg/m3) = 6155
# - raw formation energy (eV/atom) = 0.970
# - symmetry = No. 123
data_LaNb2SnTe
_cell_length_a 5.164
_cell_length_b 5.777
_cell_length_c 5.164
_cell_angle_alpha 90.00
_cell_angle_beta 90.00
_cell_angle_gamma 90.00
_space_group_name_H-M_alt 'P 1'
_space_group_IT_number 1
loop_
_space_group_symop_operation_xyz
'x,y,z'
loop_
_atom_site_label
_atom_site_fract_x
_atom_site_fract_y
_atom_site_fract_z
Nb1 0.000 0.000 0.500
Nb2 0.500 0.000 0.000
Te1 0.000 0.500 0.000
Sn1 0.000 0.000 0.000
La1 0.500 0.500 0.500


# 11
# HoSc4Ag | the Alexandria database | GGA-PBE | relaxed
# - uncorrected energy (eV for the cell shown) = -64.91
# - mass density (kg/m3) = 5043
# - symmetry = No. 36
# - formation energy from the elements (meV/atom) = 50
data_HoSc4Ag
_cell_length_a 5.193
_cell_length_b 6.020
_cell_length_c 9.883
_cell_angle_alpha 90.00
_cell_angle_beta 105.23
_cell_angle_gamma 90.00
_space_group_name_H-M_alt 'P 1'
_space_group_IT_number 1
loop_
_space_group_symop_operation_xyz
'x,y,z'
loop_
_atom_site_label
_atom_site_fract_x
_atom_site_fract_y
_atom_site_fract_z
Ho1 0.936 0.767 0.873
Ho2 0.064 0.267 0.127
Sc1 0.861 0.263 0.721
Sc2 0.139 0.763 0.279
Sc3 0.457 0.095 0.915
Sc4 0.543 0.595 0.085
Sc5 0.686 0.404 0.371
Sc6 0.314 0.904 0.629
Sc7 0.747 0.887 0.494
Sc8 0.253 0.387 0.506
Ag1 0.601 0.018 0.203
Ag2 0.399 0.518 0.797


# 12
# La4PrTl2 | the Alexandria database | GGA-PBE | relaxed
# - uncorrected energy (eV for the cell shown) = -29.12
# - mass density (kg/m3) = 7735
# - symmetry = No. 12
# - formation energy from the elements (meV/atom) = 15
data_La4PrTl2
_cell_length_a 6.453
_cell_length_b 6.453
_cell_length_c 8.696
_cell_angle_alpha 111.67
_cell_angle_beta 111.67
_cell_angle_gamma 115.24
_space_group_name_H-M_alt 'P 1'
_space_group_IT_number 1
loop_
_space_group_symop_operation_xyz
'x,y,z'
loop_
_atom_site_label
_atom_site_fract_x
_atom_site_fract_y
_atom_site_fract_z
Pr1 0.000 0.000 0.000
Tl1 0.694 0.694 0.266
Tl2 0.306 0.306 0.734
La1 0.709 0.291 0.500
La2 0.291 0.709 0.500
La3 0.500 0.000 0.000
La4 0.000 0.500 0.000


Q: Which value of mass density does entry 10 give?
A: 6155 kg/m3


Q: Among the records above, which one has the lowest mass density?
A: Sr3Ni


Q: What is the uncorrected energy in the eleventh record?
A: -64.91 eV for the cell shown


Q: Which formula does entry 11 have?
A: HoSc4Ag